No. 1
HfCu2Ir2: relaxed, PBE.

Values from the calculation:
Crystal system: tetragonal
E_tot in eV per atom: -7.368
Magnetization in Bohr magnetons per cell: 0.00
DOS(E_F) in states/eV per cell: 1.24
Energy relative to the elements in eV/atom: -0.1947

Unit cell a=3.3946 b=3.3946 c=7.2111 alpha=76.39 beta=76.39 gamma=90.00
Last column: nearest neighbours and their distance in Å.
Element x y z (fractional)
1 Cu 0.7500 0.2500 0.5000  4 Cu 2.40, 4 Ir 2.62
2 Hf 0.0000 0.0000 0.0000  8 Ir 2.78
3 Ir 0.3964 0.3964 0.2072  4 Cu 2.62, 4 Hf 2.78, 1 Ir 2.82
4 Cu 0.2500 0.7500 0.5000  4 Cu 2.40, 4 Ir 2.62
5 Ir 0.6036 0.6036 0.7928  4 Cu 2.62, 4 Hf 2.78, 1 Ir 2.82

No. 2
NaURhSe3: relaxed, PBE.

Values from the calculation:
Crystal system: monoclinic
Uncorrected formation energy in meV/atom: -910
E_tot in eV per atom: -5.979
Magnetization in Bohr magnetons per cell: 3.82
DOS(E_F) in states/eV per cell: 14.84

Unit cell a=4.0295 b=8.2016 c=9.3144 alpha=104.50 beta=90.00 gamma=90.00
Last column: nearest neighbours and their distance in Å.
Element x y z (fractional)
1 Se 0.2500 0.5692 0.8446  3 U 2.87-2.89, 2 Na 3.08
2 Se 0.7500 0.2351 0.5277  3 Rh 2.46-2.63
3 Rh 0.2500 0.0921 0.5875  4 Se 2.46-2.63
4 U 0.7500 0.3167 0.8352  6 Se 2.77-2.89
5 U 0.2500 0.6833 0.1648  6 Se 2.77-2.89
6 Se 0.2500 0.7649 0.4723  3 Rh 2.46-2.63
7 Na 0.2500 0.1953 0.2536  6 Se 3.06-3.20, 1 Rh 3.42
8 Se 0.7500 0.4308 0.1554  3 U 2.87-2.89, 2 Na 3.08
9 Rh 0.7500 0.9079 0.4125  4 Se 2.46-2.63
10 Se 0.7500 0.9109 0.1400  1 Rh 2.54, 2 U 2.80
11 Se 0.2500 0.0891 0.8600  1 Rh 2.54, 2 U 2.80
12 Na 0.7500 0.8047 0.7464  6 Se 3.06-3.20, 1 Rh 3.42

No. 3
Na4AgHg7: relaxed, PBE.

Values from the calculation:
Crystal system: triclinic
E_tot in eV per atom: -1.023
Magnetization in Bohr magnetons per cell: 0.00
DOS(E_F) in states/eV per cell: 3.56
Energy relative to the elements in eV/atom: -0.1694

Unit cell a=5.4907 b=8.7349 c=8.7209 alpha=73.67 beta=89.25 gamma=51.94
Last column: nearest neighbours and their distance in Å.
Element x y z (fractional)
1 Na 0.8691 0.8916 0.7069  8 Hg 3.09-3.41, 1 Ag 3.19, 1 Na 3.31
2 Hg 0.2063 0.5454 0.0549  4 Hg 2.98-3.32, 2 Na 3.14-3.28, 1 Ag 3.27
3 Ag 0.0000 0.0000 0.0000  2 Hg 2.75
4 Hg 0.7937 0.4546 0.9451  4 Hg 2.98-3.32, 2 Na 3.14-3.28, 1 Ag 3.27
5 Hg 0.0666 0.1822 0.6392  6 Na 3.23-3.53, 1 Ag 3.23, 5 Hg 3.25-3.50
6 Hg 0.4389 0.3006 0.4113  2 Hg 2.98-3.25, 2 Na 3.09-3.13
7 Hg 0.5000 0.0000 0.0000  2 Ag 2.75
8 Hg 0.9334 0.8178 0.3608  6 Na 3.23-3.53, 1 Ag 3.23, 5 Hg 3.25-3.50
9 Hg 0.5611 0.6994 0.5887  2 Hg 2.98-3.25, 2 Na 3.09-3.13
10 Na 0.6382 0.6007 0.2649  9 Hg 3.13-3.45, 1 Ag 3.22, 1 Na 3.31
11 Na 0.1309 0.1084 0.2931  8 Hg 3.09-3.41, 1 Ag 3.19, 1 Na 3.31
12 Na 0.3618 0.3993 0.7351  9 Hg 3.13-3.45, 1 Ag 3.22, 1 Na 3.31

No. 4
DyTh2Sc: relaxed, PBE.

Values from the calculation:
Crystal system: orthorhombic
E_tot in eV per atom: -6.320
Magnetization in Bohr magnetons per cell: 0.00
DOS(E_F) in states/eV per cell: 7.43
Energy relative to the elements in eV/atom: 0.1232

Unit cell a=3.5717 b=6.7560 c=6.7560 alpha=119.50 beta=74.67 gamma=74.67
Last column: nearest neighbours and their distance in Å.
Element x y z (fractional)
1 Th 0.0000 0.9878 0.0122  2 Sc 3.30, 6 Th 3.42-3.57, 2 Dy 3.54
2 Dy 0.5000 0.2500 0.7500  4 Sc 3.40, 4 Th 3.54, 2 Dy 3.57
3 Sc 0.5000 0.7500 0.2500  4 Th 3.30, 4 Dy 3.40, 2 Sc 3.57
4 Th 0.0000 0.5122 0.4878  2 Sc 3.30, 6 Th 3.42-3.57, 2 Dy 3.54

No. 5
Ni4W: relaxed, PBE.

Values from the calculation:
Crystal system: cubic
E_tot in eV per atom: -5.581
Magnetization in Bohr magnetons per cell: 0.00
DOS(E_F) in states/eV per cell: 4.80
Energy relative to the elements in eV/atom: 1.6351

Unit cell a=4.4465 b=4.4465 c=4.4465 alpha=90.00 beta=90.00 gamma=90.00
Last column: nearest neighbours and their distance in Å.
Element x y z (fractional)
1 Ni 0.5000 0.0000 0.5000  2 W 2.22
2 W 0.5000 0.5000 0.5000  6 Ni 2.22
3 Ni 0.0000 0.0000 0.0000  12 Ni 3.14
4 Ni 0.0000 0.5000 0.5000  2 W 2.22
5 Ni 0.5000 0.5000 0.0000  2 W 2.22

No. 6
FeNiPt2: relaxed, PBE.

Values from the calculation:
Crystal system: monoclinic
E_tot in eV per atom: -6.731
Magnetization in Bohr magnetons per cell: 4.44
DOS(E_F) in states/eV per cell: 5.14
Energy relative to the elements in eV/atom: -0.1497

Unit cell a=4.6983 b=4.6983 c=4.5813 alpha=78.23 beta=78.23 gamma=33.99
Last column: nearest neighbours and their distance in Å.
Element x y z (fractional)
1 Ni 0.2430 0.2430 0.2444  3 Fe 2.60-2.87, 7 Pt 2.63-2.72, 2 Ni 2.75
2 Fe 0.5062 0.5062 0.5053  3 Ni 2.60-2.87, 7 Pt 2.62-2.72, 2 Fe 2.75
3 Pt 0.9952 0.9952 0.0222  4 Fe 2.62-2.72, 3 Ni 2.64-2.66, 5 Pt 2.75-2.80
4 Pt 0.7556 0.7556 0.7281  4 Ni 2.63-2.72, 3 Fe 2.65, 5 Pt 2.75-2.80

No. 7
Ac3MgAl2Si6: relaxed, PBE.

Values from the calculation:
Crystal system: trigonal
Uncorrected formation energy in meV/atom: -328
E_tot in eV per atom: -4.824
Magnetization in Bohr magnetons per cell: 0.00
DOS(E_F) in states/eV per cell: 5.86

Unit cell a=6.2920 b=6.2920 c=8.5548 alpha=90.00 beta=90.00 gamma=120.00
Last column: nearest neighbours and their distance in Å.
Element x y z (fractional)
1 Si 0.7960 0.5920 0.7111  2 Si 2.44, 1 Al 2.58
2 Si 0.7960 0.2040 0.7111  2 Si 2.44, 1 Al 2.58
3 Ac 0.0000 0.0000 0.0000  6 Si 3.32, 6 Al 3.65
4 Mg 0.0000 0.0000 0.5000  6 Si 2.86
5 Al 0.3333 0.6667 0.0361  3 Si 2.58
6 Si 0.2040 0.7960 0.2889  2 Si 2.44, 1 Al 2.58
7 Si 0.5920 0.7960 0.2889  2 Si 2.44, 1 Al 2.58
8 Ac 0.6667 0.3333 0.3616  9 Si 3.23-3.31, 1 Al 3.40
9 Si 0.2040 0.4080 0.2889  2 Si 2.44, 1 Al 2.58
10 Al 0.6667 0.3333 0.9639  3 Si 2.58
11 Si 0.4080 0.2040 0.7111  2 Si 2.44, 1 Al 2.58
12 Ac 0.3333 0.6667 0.6384  9 Si 3.23-3.31, 1 Al 3.40

No. 8
Ba2SnPdPb: relaxed, PBE.

Values from the calculation:
Crystal system: tetragonal
E_tot in eV per atom: -3.825
Magnetization in Bohr magnetons per cell: 0.00
DOS(E_F) in states/eV per cell: 2.06
Energy relative to the elements in eV/atom: -0.4751

Unit cell a=6.0851 b=6.0851 c=5.1398 alpha=90.00 beta=90.00 gamma=90.00
Last column: nearest neighbours and their distance in Å.
Element x y z (fractional)
1 Ba 0.5000 0.0000 0.0000  2 Pd 3.04
2 Pb 0.5000 0.5000 0.5000  8 Ba 3.98, 4 Sn 4.30
3 Ba 0.0000 0.5000 0.0000  2 Pd 3.04
4 Sn 0.0000 0.0000 0.5000  2 Pd 2.57
5 Pd 0.0000 0.0000 0.0000  2 Sn 2.57

No. 9
Nd2Mg2Cd: relaxed, PBE.

Values from the calculation:
Crystal system: monoclinic
E_tot in eV per atom: -2.873
Magnetization in Bohr magnetons per cell: 0.00
DOS(E_F) in states/eV per cell: 7.77
Energy relative to the elements in eV/atom: -0.1450

Unit cell a=5.2768 b=6.3057 c=9.9049 alpha=99.00 beta=74.55 gamma=65.27
Last column: nearest neighbours and their distance in Å.
Element x y z (fractional)
1 Nd 0.1017 0.7314 0.0651  2 Cd 3.40, 6 Mg 3.42-3.62, 4 Nd 3.44-3.68
2 Nd 0.6887 0.2765 0.3462  7 Mg 3.22-3.56, 2 Nd 3.25-3.44, 2 Cd 3.30-3.60
3 Mg 0.9371 0.7045 0.4213  3 Cd 3.04-3.16, 2 Mg 3.15-3.33
4 Mg 0.6639 0.8145 0.8576  1 Mg 2.89, 1 Cd 2.91, 2 Nd 3.22
5 Mg 0.3361 0.1855 0.1424  1 Mg 2.89, 1 Cd 2.91, 2 Nd 3.22
6 Cd 0.5616 0.1764 0.7003  4 Mg 2.91-3.16
7 Nd 0.8983 0.2686 0.9349  2 Cd 3.40, 6 Mg 3.42-3.62, 4 Nd 3.44-3.68
8 Cd 0.4384 0.8236 0.2997  4 Mg 2.91-3.16
9 Nd 0.3113 0.7235 0.6538  7 Mg 3.22-3.56, 2 Nd 3.25-3.44, 2 Cd 3.30-3.60
10 Mg 0.0629 0.2955 0.5787  3 Cd 3.04-3.16, 2 Mg 3.15-3.33

No. 10
Na3In3SnS8: relaxed, PBE.

Values from the calculation:
Crystal system: trigonal
Uncorrected formation energy in meV/atom: -782
E_tot in eV per atom: -4.061
Magnetization in Bohr magnetons per cell: 0.00
DOS(E_F) in states/eV per cell: 0.00

Unit cell a=7.6217 b=7.6256 c=8.1169 alpha=118.06 beta=90.00 gamma=119.98
Last column: nearest neighbours and their distance in Å.
Element x y z (fractional)
1 S 0.7465 0.9809 0.7151  1 Sn 2.60, 2 In 2.67
2 S 0.7655 0.5310 0.2848  1 Sn 2.60, 2 In 2.67
3 Na 0.5000 0.5000 0.0000  6 S 2.91-2.93
4 S 0.7390 0.4780 0.7166  3 In 2.65, 3 Na 2.93
5 S 0.2345 0.9809 0.7151  1 Sn 2.60, 2 In 2.67
6 Na 0.0000 0.0000 0.0000  6 S 2.92-2.93
7 In 0.0000 0.5000 0.5000  6 S 2.65-2.67
8 S 0.2345 0.4690 0.7152  1 Sn 2.60, 2 In 2.67
9 S 0.2610 0.5220 0.2834  3 In 2.65, 3 Na 2.93
10 In 0.5000 0.0000 0.5000  6 S 2.65-2.67
11 S 0.2535 0.0191 0.2849  1 Sn 2.60, 2 In 2.67
12 S 0.7655 0.0191 0.2849  1 Sn 2.60, 2 In 2.67
13 Na 0.0000 0.5000 0.0000  6 S 2.91-2.93
14 In 0.5000 0.5000 0.5000  6 S 2.65-2.67
15 Sn 0.0000 0.0000 0.5000  6 S 2.60

No. 11
Eu3CdIr: relaxed, PBE.

Values from the calculation:
Crystal system: cubic
E_tot in eV per atom: -8.373
Magnetization in Bohr magnetons per cell: 21.07
DOS(E_F) in states/eV per cell: 16.08
Energy relative to the elements in eV/atom: -0.2527

Unit cell a=5.6070 b=5.6070 c=5.6070 alpha=90.00 beta=90.00 gamma=90.00
Last column: nearest neighbours and their distance in Å.
Element x y z (fractional)
1 Eu 0.5000 0.0000 0.0000  2 Ir 2.80
2 Eu 0.0000 0.5000 0.0000  2 Ir 2.80
3 Cd 0.5000 0.5000 0.5000  12 Eu 3.96
4 Eu 0.0000 0.0000 0.5000  2 Ir 2.80
5 Ir 0.0000 0.0000 0.0000  6 Eu 2.80

No. 12
Hf3ZnPt: relaxed, PBE.

Values from the calculation:
Crystal system: cubic
E_tot in eV per atom: -7.092
Magnetization in Bohr magnetons per cell: 0.00
DOS(E_F) in states/eV per cell: 7.30
Energy relative to the elements in eV/atom: 0.3425

Unit cell a=5.0453 b=5.0453 c=5.0453 alpha=90.00 beta=90.00 gamma=90.00
Last column: nearest neighbours and their distance in Å.
Element x y z (fractional)
1 Zn 0.5000 0.5000 0.5000  12 Hf 3.57
2 Hf 0.0000 0.0000 0.5000  2 Pt 2.52
3 Hf 0.0000 0.5000 0.0000  2 Pt 2.52
4 Pt 0.0000 0.0000 0.0000  6 Hf 2.52
5 Hf 0.5000 0.0000 0.0000  2 Pt 2.52

No. 13
Ce6Tm: relaxed, PBE.

Values from the calculation:
Crystal system: cubic
E_tot in eV per atom: -5.035
Magnetization in Bohr magnetons per cell: 0.03
DOS(E_F) in states/eV per cell: 26.26
Energy relative to the elements in eV/atom: 0.6901

Unit cell a=6.5710 b=6.5710 c=6.5710 alpha=109.47 beta=109.47 gamma=109.47
Last column: nearest neighbours and their distance in Å.
Element x y z (fractional)
1 Ce 0.5000 0.2500 0.7500  4 Ce 2.68
2 Ce 0.7500 0.5000 0.2500  4 Ce 2.68
3 Ce 0.5000 0.7500 0.2500  4 Ce 2.68
4 Ce 0.2500 0.7500 0.5000  4 Ce 2.68
5 Ce 0.2500 0.5000 0.7500  4 Ce 2.68
6 Ce 0.7500 0.2500 0.5000  4 Ce 2.68
7 Tm 0.0000 0.0000 0.0000  24 Ce 4.24

No. 14
Tm6GeS5: relaxed, PBE.

Values from the calculation:
Crystal system: monoclinic
Uncorrected formation energy in meV/atom: -1793
E_tot in eV per atom: -6.133
Magnetization in Bohr magnetons per cell: 0.00
DOS(E_F) in states/eV per cell: 4.53

Unit cell a=6.7529 b=6.7383 c=6.7316 alpha=59.97 beta=80.48 gamma=70.70
Last column: nearest neighbours and their distance in Å.
Element x y z (fractional)
1 Ge 0.0000 0.0000 0.0000  6 Tm 2.75
2 S 0.5000 0.8333 0.3335  6 Tm 2.75
3 Tm 0.2504 0.5835 0.3335  5 S 2.75, 1 Ge 2.75
4 S 0.0000 0.6669 0.6663  6 Tm 2.75-2.76
5 S 0.0000 0.3331 0.3337  6 Tm 2.75-2.76
6 S 0.5000 0.1667 0.6665  6 Tm 2.75
7 S 0.5000 0.5000 0.0000  6 Tm 2.75
8 Tm 0.2501 0.2500 0.0000  5 S 2.75-2.76, 1 Ge 2.75
9 Tm 0.7499 0.7500 0.0000  5 S 2.75-2.76, 1 Ge 2.75
10 Tm 0.7496 0.0829 0.3335  5 S 2.75, 1 Ge 2.75
11 Tm 0.7496 0.4165 0.6665  5 S 2.75, 1 Ge 2.75
12 Tm 0.2504 0.9171 0.6665  5 S 2.75, 1 Ge 2.75

No. 15
BaMn: relaxed, PBE.

Values from the calculation:
Crystal system: orthorhombic
E_tot in eV per atom: -4.819
Magnetization in Bohr magnetons per cell: 58.28
DOS(E_F) in states/eV per cell: 38.58
Energy relative to the elements in eV/atom: 0.7274

Unit cell a=10.1427 b=16.7880 c=6.4284 alpha=90.00 beta=90.00 gamma=90.00
Last column: nearest neighbours and their distance in Å.
Element x y z (fractional)
1 Mn 0.2500 0.3262 0.7500  1 Mn 2.56
2 Mn 0.7500 0.3262 0.2500  1 Mn 2.56
3 Ba 0.6719 0.5000 0.5000  4 Mn 3.42-3.57, 3 Ba 3.49-3.58
4 Mn 0.7500 0.1738 0.2500  1 Mn 2.56
5 Mn 0.5000 0.5762 0.0000  1 Mn 2.56
6 Ba 0.4219 0.2500 0.2500  4 Mn 3.42-3.57, 3 Ba 3.49-3.58
7 Mn 0.0000 0.5762 0.5000  1 Mn 2.56
8 Ba 0.3281 0.5000 0.5000  4 Mn 3.42-3.57, 3 Ba 3.49-3.58
9 Ba 0.8281 0.0000 0.5000  4 Mn 3.42-3.57, 3 Ba 3.49-3.58
10 Ba 0.3281 0.0000 0.0000  4 Mn 3.42-3.57, 3 Ba 3.49-3.58
11 Ba 0.8281 0.5000 0.0000  4 Mn 3.42-3.57, 3 Ba 3.49-3.58
12 Mn 0.5000 0.9238 0.5000  1 Mn 2.56
13 Mn 0.5000 0.4238 0.0000  1 Mn 2.56
14 Mn 0.7500 0.8262 0.7500  1 Mn 2.56
15 Mn 0.0000 0.9238 0.0000  1 Mn 2.56
16 Mn 0.0000 0.4238 0.5000  1 Mn 2.56
17 Mn 0.0000 0.0762 0.0000  1 Mn 2.56
18 Ba 0.1719 0.5000 0.0000  4 Mn 3.42-3.57, 3 Ba 3.49-3.58
19 Ba 0.9219 0.2500 0.7500  4 Mn 3.42-3.57, 3 Ba 3.49-3.58
20 Mn 0.5000 0.0762 0.5000  1 Mn 2.56
21 Ba 0.0781 0.7500 0.7500  4 Mn 3.42-3.57, 3 Ba 3.49-3.58
22 Ba 0.1719 0.0000 0.5000  4 Mn 3.42-3.57, 3 Ba 3.49-3.58
23 Ba 0.5781 0.7500 0.2500  4 Mn 3.42-3.57, 3 Ba 3.49-3.58
24 Mn 0.7500 0.6738 0.7500  1 Mn 2.56
25 Ba 0.6719 0.0000 0.0000  4 Mn 3.42-3.57, 3 Ba 3.49-3.58
26 Ba 0.9219 0.7500 0.2500  4 Mn 3.42-3.57, 3 Ba 3.49-3.58
27 Mn 0.2500 0.6738 0.2500  1 Mn 2.56
28 Mn 0.2500 0.1738 0.7500  1 Mn 2.56
29 Mn 0.2500 0.8262 0.2500  1 Mn 2.56
30 Ba 0.4219 0.7500 0.7500  4 Mn 3.42-3.57, 3 Ba 3.49-3.58
31 Ba 0.0781 0.2500 0.2500  4 Mn 3.42-3.57, 3 Ba 3.49-3.58
32 Ba 0.5781 0.2500 0.7500  4 Mn 3.42-3.57, 3 Ba 3.49-3.58